[1]
{"formula": "CsK2P2", "functional": "PBE", "state": "optimized geometry", "lattice": [[9.8522, 0.0000, 0.0000], [0.0000, 9.8522, 0.0000], [0.0000, 0.0000, 3.2690]], "species": ["Cs", "Cs", "K", "K", "K", "K", "P", "P", "P", "P"], "frac_coords": [[0.0000, 0.0000, 0.0000], [0.5000, 0.5000, 0.0000], [0.1229, 0.3771, 0.0000], [0.3771, 0.8771, 0.0000], [0.6229, 0.1229, 0.0000], [0.8771, 0.6229, 0.0000], [0.1733, 0.6733, 0.5000], [0.3267, 0.1733, 0.5000], [0.6733, 0.8267, 0.5000], [0.8267, 0.3267, 0.5000]], "delta_e_f_ev_per_atom": 0.064, "n_ef_per_ev_cell": 9.73, "sg": "P4/mbm, No. 127", "polymorph_energy_kj_per_mol_atoms": 33.1}


[2]
{"formula": "CsK2P2", "functional": "PBE", "state": "optimized geometry", "lattice": [[-2.8091, 2.8091, 5.9874], [2.8091, -2.8091, 5.9874], [2.8091, 2.8091, -5.9874]], "species": ["Cs", "K", "K", "P", "P"], "frac_coords": [[0.0000, 0.0000, 0.0000], [0.3593, 0.3593, 0.0000], [0.6407, 0.6407, 0.0000], [0.2500, 0.7500, 0.5000], [0.7500, 0.2500, 0.5000]], "delta_e_f_ev_per_atom": 0.240, "n_ef_per_ev_cell": 4.21, "sg": "I4/mmm, No. 139", "polymorph_energy_kj_per_mol_atoms": 50.1}


[3]
{"formula": "Cs6K8P", "functional": "PBE", "state": "optimized geometry", "lattice": [[6.6333, 3.8298, 8.1887], [-6.6333, 3.8298, 8.1887], [0.0000, -7.6595, 8.1887]], "species": ["Cs", "Cs", "Cs", "Cs", "Cs", "Cs", "K", "K", "K", "K", "K", "K", "K", "K", "P"], "frac_coords": [[0.1668, 0.4542, 0.6228], [0.3772, 0.8332, 0.5458], [0.4542, 0.6228, 0.1668], [0.5458, 0.3772, 0.8332], [0.6228, 0.1668, 0.4542], [0.8332, 0.5458, 0.3772], [0.0294, 0.9154, 0.2879], [0.0846, 0.7121, 0.9706], [0.2434, 0.2434, 0.2434], [0.2879, 0.0294, 0.9154], [0.7121, 0.9706, 0.0846], [0.7566, 0.7566, 0.7566], [0.9154, 0.2879, 0.0294], [0.9706, 0.0846, 0.7121], [0.0000, 0.0000, 0.0000]], "delta_e_f_ev_per_atom": -0.030, "n_ef_per_ev_cell": 13.06, "sg": "R-3, No. 148"}